Material: SrRe3
Method: DFT, PBE
State: relaxed

Results
As for the distance to the lowest polymorph of the same formula: 2.07 eV per formula unit. The value obtained for the size of the total moment is 0.00 μB per atom.

Cell lengths 5.4391, 5.4391, 2.6274 Å; angles 90.00, 90.00, 112.98 degrees
Fractional positions:
Sr 0.0000 0.0000 0.0000
Re 0.0000 0.5000 0.5000
Re 0.5000 0.0000 0.5000
Re 0.5000 0.5000 0.0000

***

Material: Cr5C4
Method: DFT, PBE
State: relaxed

Results
As for the distance to the lowest polymorph of the same formula: 4.68 eV per formula unit. The value obtained for the size of the total moment is 0.00 μB per atom.

Cell lengths 6.3685, 6.3685, 6.3685 Å; angles 92.61, 92.61, 155.35 degrees
Fractional positions:
Cr 0.6620 0.6620 0.3241
Cr 0.0000 0.0000 0.0000
Cr 0.3380 0.6620 0.0000
Cr 0.6620 0.3380 0.0000
Cr 0.3380 0.3380 0.6759
C 0.7766 0.0000 0.7766
C 0.2234 0.0000 0.2234
C 0.0000 0.7766 0.7766
C 0.0000 0.2234 0.2234

***

Material: ZrCoHg
Method: DFT, PBE
State: relaxed

Results
As for the distance to the lowest polymorph of the same formula: 0.42 eV per formula unit. The value obtained for the size of the total moment is 0.00 μB per atom.

Cell lengths 5.2772, 5.2775, 3.3747 Å; angles 71.35, 71.36, 37.29 degrees
Fractional positions:
Zr 0.6435 0.6435 0.3565
Hg 0.3396 0.3396 0.6604
Co 0.0169 0.0169 0.9831

***

Question: Among the records above, which one has the highest distance to the lowest polymorph of the same formula?
Answer: Cr5C4